1.
# ZnRe2As | the Alexandria database | PBE-GGA | optimized geometry
# Energy of formation ... 0.389 eV per atom
# Total magnetic moment ... 0.01 μB/cell
# VASP energy ... -87.80 eV per cell
# Excess energy over the best structure of this formula in the dataset ... 245 meV/atom
data_ZnRe2As
_space_group_name_H-M_alt 'R -3 m'
_space_group_IT_number 166
_space_group_name_Hall '-R 3 2"'
_cell_length_a 2.8769
_cell_length_b 2.8769
_cell_length_c 25.1392
_cell_angle_alpha 90.00
_cell_angle_beta 90.00
_cell_angle_gamma 120.00
loop_
_atom_site_label
_atom_site_type_symbol
_atom_site_fract_x
_atom_site_fract_y
_atom_site_fract_z
Zn1 Zn 0.0000 0.0000 0.0000
Re1 Re 0.0000 0.0000 0.2453
As1 As 0.0000 0.0000 0.5000


2.
# Al2FeSi2 | the Alexandria database | PBE-GGA | optimized geometry
# Total magnetic moment ... 0.15 μB/cell
# VASP energy ... -47.77 eV per cell
# E_form (uncorrected) ... 582 meV/atom
data_Al2FeSi2
_space_group_name_H-M_alt 'I 4/m m m'
_space_group_IT_number 139
_space_group_name_Hall '-I 4 2'
_cell_length_a 3.575
_cell_length_b 3.575
_cell_length_c 11.882
_cell_angle_alpha 90.00
_cell_angle_beta 90.00
_cell_angle_gamma 90.00
loop_
_atom_site_label
_atom_site_type_symbol
_atom_site_fract_x
_atom_site_fract_y
_atom_site_fract_z
Al1 Al 0.000 0.500 0.250
Fe1 Fe 0.000 0.000 0.000
Si1 Si 0.000 0.000 0.405


3.
# La3CdIr | the Alexandria database | PBE-GGA | optimized geometry
# Energy of formation ... -0.432 eV per atom
# Total magnetic moment ... 0.00 μB/cell
# VASP energy ... -160.32 eV per cell
# Excess energy over the best structure of this formula in the dataset ... 56 meV/atom
data_La3CdIr
_space_group_name_H-M_alt 'R -3 c'
_space_group_IT_number 167
_space_group_name_Hall '-R 3 2"c'
_cell_length_a 8.0079
_cell_length_b 8.0079
_cell_length_c 18.2333
_cell_angle_alpha 90.00
_cell_angle_beta 90.00
_cell_angle_gamma 120.00
loop_
_atom_site_label
_atom_site_type_symbol
_atom_site_fract_x
_atom_site_fract_y
_atom_site_fract_z
La1 La 0.0000 0.4135 0.2500
Cd1 Cd 0.0000 0.0000 0.2500
Ir1 Ir 0.0000 0.0000 0.0000


4.
# CuHg5 | the Alexandria database | PBE-GGA | optimized geometry
# Energy of formation ... 0.401 eV per atom
# Total magnetic moment ... 0.00 μB/cell
# VASP energy ... -3.20 eV per cell
# Excess energy over the best structure of this formula in the dataset ... 294 meV/atom
data_CuHg5
_space_group_name_H-M_alt 'P 6/m m m'
_space_group_IT_number 191
_space_group_name_Hall '-P 6 2'
_cell_length_a 5.7280
_cell_length_b 5.7280
_cell_length_c 5.8837
_cell_angle_alpha 90.00
_cell_angle_beta 90.00
_cell_angle_gamma 120.00
loop_
_atom_site_label
_atom_site_type_symbol
_atom_site_fract_x
_atom_site_fract_y
_atom_site_fract_z
Cu1 Cu 0.0000 0.0000 0.0000
Hg1 Hg 0.0000 0.5000 0.5000
Hg2 Hg 0.3333 0.6667 0.0000


5.
# Sm2Ga6Ru | the Alexandria database | PBE-GGA | optimized geometry
# Energy of formation ... -0.584 eV per atom
# Total magnetic moment ... 0.00 μB/cell
# VASP energy ... -168.52 eV per cell
# Excess energy over the best structure of this formula in the dataset ... 0 meV/atom
data_Sm2Ga6Ru
_space_group_name_H-M_alt 'F m -3 m'
_space_group_IT_number 225
_space_group_name_Hall '-F 4 2 3'
_cell_length_a 8.849
_cell_length_b 8.849
_cell_length_c 8.849
_cell_angle_alpha 90.00
_cell_angle_beta 90.00
_cell_angle_gamma 90.00
loop_
_atom_site_label
_atom_site_type_symbol
_atom_site_fract_x
_atom_site_fract_y
_atom_site_fract_z
Sm1 Sm 0.250 0.250 0.250
Ga1 Ga 0.000 0.000 0.217
Ru1 Ru 0.000 0.000 0.500


6.
# KSrSi2 | the Alexandria database | PBE-GGA | optimized geometry
# Total magnetic moment ... 0.00 μB/cell
# VASP energy ... -28.31 eV per cell
# E_form (uncorrected) ... -133 meV/atom
# Excess energy over the best structure of this formula in the dataset ... 46 meV/atom
data_KSrSi2
_space_group_name_H-M_alt 'I m m 2'
_space_group_IT_number 44
_cell_length_a 3.854
_cell_length_b 5.296
_cell_length_c 10.586
_cell_angle_alpha 90.00
_cell_angle_beta 90.00
_cell_angle_gamma 90.00
loop_
_space_group_symop_operation_xyz
'x,y,z'
'-x,-y,z'
'-x,y,z'
'x,-y,z'
'x+1/2,y+1/2,z+1/2'
'-x+1/2,-y+1/2,z+1/2'
'-x+1/2,y+1/2,z+1/2'
'x+1/2,-y+1/2,z+1/2'
loop_
_atom_site_label
_atom_site_type_symbol
_atom_site_fract_x
_atom_site_fract_y
_atom_site_fract_z
K1 K 0.000 0.000 0.000
Sr1 Sr 0.000 0.500 0.195
Si1 Si 0.000 0.000 0.417
Si2 Si 0.000 0.500 0.783


7.
# Pr3NdTh4Se8 | the Alexandria database | PBE-GGA | optimized geometry
# Total magnetic moment ... 0.00 μB/cell
# VASP energy ... -310.96 eV per cell
# E_form (uncorrected) ... -1687 meV/atom
data_Pr3NdTh4Se8
_space_group_name_H-M_alt 'R -3 m'
_space_group_IT_number 166
_space_group_name_Hall '-R 3 2"'
_cell_length_a 8.3888
_cell_length_b 8.3888
_cell_length_c 21.0264
_cell_angle_alpha 90.00
_cell_angle_beta 90.00
_cell_angle_gamma 120.00
loop_
_atom_site_label
_atom_site_type_symbol
_atom_site_fract_x
_atom_site_fract_y
_atom_site_fract_z
Pr1 Pr 0.0000 0.5000 0.0000
Nd1 Nd 0.0000 0.0000 0.0000
Th1 Th 0.0000 0.0000 0.5000
Th2 Th 0.0000 0.5000 0.5000
Se1 Se 0.0000 0.0000 0.2495
Se2 Se 0.0014 0.5007 0.7502


8.
# RbTi2Se3 | the Alexandria database | PBE-GGA | optimized geometry
# Total magnetic moment ... 0.00 μB/cell
# VASP energy ... -136.59 eV per cell
# E_form (uncorrected) ... -1156 meV/atom
data_RbTi2Se3
_space_group_name_H-M_alt 'C m c m'
_space_group_IT_number 63
_space_group_name_Hall '-C 2c 2'
_cell_length_a 3.896
_cell_length_b 16.006
_cell_length_c 9.880
_cell_angle_alpha 90.00
_cell_angle_beta 90.00
_cell_angle_gamma 90.00
loop_
_atom_site_label
_atom_site_type_symbol
_atom_site_fract_x
_atom_site_fract_y
_atom_site_fract_z
Rb1 Rb 0.000 0.247 0.250
Ti1 Ti 0.000 0.000 0.000
Ti2 Ti 0.000 0.479 0.750
Se1 Se 0.000 0.074 0.750
Se2 Se 0.000 0.389 0.549


9.
# SiHIF2 | the Alexandria database | PBE-GGA | optimized geometry
# Total magnetic moment ... 0.00 μB/cell
# VASP energy ... -13.14 eV per cell
data_SiHIF2
_space_group_name_H-M_alt 'P 4/m m m'
_space_group_IT_number 123
_space_group_name_Hall '-P 4 2'
_cell_length_a 5.128
_cell_length_b 5.128
_cell_length_c 3.609
_cell_angle_alpha 90.00
_cell_angle_beta 90.00
_cell_angle_gamma 90.00
loop_
_atom_site_label
_atom_site_type_symbol
_atom_site_fract_x
_atom_site_fract_y
_atom_site_fract_z
Si1 Si 0.000 0.000 0.000
H1 H 0.500 0.500 0.000
I1 I 0.500 0.500 0.500
F1 F 0.000 0.500 0.500


10.
# ScGeBi | the Alexandria database | PBE-GGA | optimized geometry
# Energy of formation ... -0.284 eV per atom
# Total magnetic moment ... 0.00 μB/cell
# VASP energy ... -62.73 eV per cell
# Excess energy over the best structure of this formula in the dataset ... 0 meV/atom
data_ScGeBi
_space_group_name_H-M_alt 'C 1 2/m 1'
_space_group_IT_number 12
_cell_length_a 9.581
_cell_length_b 3.706
_cell_length_c 9.513
_cell_angle_alpha 90.00
_cell_angle_beta 110.57
_cell_angle_gamma 90.00
loop_
_space_group_symop_operation_xyz
'x,y,z'
'-x,-y,-z'
'-x,y,-z'
'x,-y,z'
'x+1/2,y+1/2,z'
'-x+1/2,-y+1/2,-z'
'-x+1/2,y+1/2,-z'
'x+1/2,-y+1/2,z'
loop_
_atom_site_label
_atom_site_type_symbol
_atom_site_fract_x
_atom_site_fract_y
_atom_site_fract_z
Sc1 Sc 0.004 0.000 0.189
Ge1 Ge 0.159 0.500 0.024
Bi1 Bi 0.226 0.000 0.652


11.
# CuSn3Cl | the Alexandria database | PBE-GGA | optimized geometry
# Total magnetic moment ... 0.00 μB/cell
# VASP energy ... -17.33 eV per cell
# E_form (uncorrected) ... 123 meV/atom
# Excess energy over the best structure of this formula in the dataset ... 0 meV/atom
data_CuSn3Cl
_space_group_name_H-M_alt 'P m -3 m'
_space_group_IT_number 221
_space_group_name_Hall '-P 4 2 3'
_cell_length_a 5.162
_cell_length_b 5.162
_cell_length_c 5.162
_cell_angle_alpha 90.00
_cell_angle_beta 90.00
_cell_angle_gamma 90.00
loop_
_atom_site_label
_atom_site_type_symbol
_atom_site_fract_x
_atom_site_fract_y
_atom_site_fract_z
Cu1 Cu 0.000 0.000 0.000
Sn1 Sn 0.000 0.000 0.500
Cl1 Cl 0.500 0.500 0.500


12.
# TlAg2IrF8 | the Alexandria database | PBE-GGA | optimized geometry
# Total magnetic moment ... 2.12 μB/cell
# VASP energy ... -47.40 eV per cell
# E_form (uncorrected) ... -1292 meV/atom
data_TlAg2IrF8
_space_group_name_H-M_alt 'P -3 m 1'
_space_group_IT_number 164
_space_group_name_Hall '-P 3 2"'
_cell_length_a 5.3194
_cell_length_b 5.3194
_cell_length_c 8.4686
_cell_angle_alpha 90.00
_cell_angle_beta 90.00
_cell_angle_gamma 120.00
loop_
_atom_site_label
_atom_site_type_symbol
_atom_site_fract_x
_atom_site_fract_y
_atom_site_fract_z
Tl1 Tl 0.0000 0.0000 0.0000
Ag1 Ag 0.3333 0.6667 0.2781
Ir1 Ir 0.0000 0.0000 0.5000
F1 F 0.1654 0.3309 0.6409
F2 F 0.3333 0.6667 0.0309


13.
# Sr2Tl5Ag3 | the Alexandria database | PBE-GGA | optimized geometry
# Energy of formation ... -0.154 eV per atom
# Total magnetic moment ... 0.00 μB/cell
# VASP energy ... -101.14 eV per cell
# Excess energy over the best structure of this formula in the dataset ... 32 meV/atom
data_Sr2Tl5Ag3
_space_group_name_H-M_alt 'I b a m'
_space_group_IT_number 72
_space_group_name_Hall '-I 2 2c'
_cell_length_a 12.935
_cell_length_b 13.340
_cell_length_c 6.615
_cell_angle_alpha 90.00
_cell_angle_beta 90.00
_cell_angle_gamma 90.00
loop_
_atom_site_label
_atom_site_type_symbol
_atom_site_fract_x
_atom_site_fract_y
_atom_site_fract_z
Sr1 Sr 0.239 0.134 0.000
Tl1 Tl 0.000 0.000 0.250
Tl2 Tl 0.000 0.260 0.250
Tl3 Tl 0.152 0.398 0.000
Ag1 Ag 0.000 0.500 0.250
Ag2 Ag 0.135 0.131 0.500


14.
# ZnAsIr2 | the Alexandria database | PBE-GGA | optimized geometry
# Energy of formation ... 0.111 eV per atom
# Total magnetic moment ... 0.00 μB/cell
# VASP energy ... -69.60 eV per cell
# Excess energy over the best structure of this formula in the dataset ... 125 meV/atom
data_ZnAsIr2
_space_group_name_H-M_alt 'R 3 m'
_space_group_IT_number 160
_space_group_name_Hall 'R 3 -2"'
_cell_length_a 2.9133
_cell_length_b 2.9133
_cell_length_c 25.1493
_cell_angle_alpha 90.00
_cell_angle_beta 90.00
_cell_angle_gamma 120.00
loop_
_atom_site_label
_atom_site_type_symbol
_atom_site_fract_x
_atom_site_fract_y
_atom_site_fract_z
Zn1 Zn 0.0000 0.0000 0.0000
As1 As 0.0000 0.0000 0.2424
Ir1 Ir 0.0000 0.0000 0.5004
Ir2 Ir 0.0000 0.0000 0.7454


15.
# CaAsSe2 | the Alexandria database | PBE-GGA | optimized geometry
# Total magnetic moment ... 0.00 μB/cell
# VASP energy ... -32.64 eV per cell
# E_form (uncorrected) ... -674 meV/atom
data_CaAsSe2
_space_group_name_H-M_alt 'C 1 2/m 1'
_space_group_IT_number 12
_cell_length_a 6.004
_cell_length_b 8.133
_cell_length_c 5.051
_cell_angle_alpha 90.00
_cell_angle_beta 126.32
_cell_angle_gamma 90.00
loop_
_space_group_symop_operation_xyz
'x,y,z'
'-x,-y,-z'
'-x,y,-z'
'x,-y,z'
'x+1/2,y+1/2,z'
'-x+1/2,-y+1/2,-z'
'-x+1/2,y+1/2,-z'
'x+1/2,-y+1/2,z'
loop_
_atom_site_label
_atom_site_type_symbol
_atom_site_fract_x
_atom_site_fract_y
_atom_site_fract_z
Ca1 Ca 0.000 0.000 0.000
As1 As 0.000 0.500 0.000
Se1 Se 0.250 0.250 0.500


16.
# AcSmZnOs | the Alexandria database | PBE-GGA | optimized geometry
# Energy of formation ... -0.028 eV per atom
# Total magnetic moment ... 0.00 μB/cell
# VASP energy ... -85.78 eV per cell
data_AcSmZnOs
_space_group_name_H-M_alt 'F -4 3 m'
_space_group_IT_number 216
_space_group_name_Hall 'F -4 2 3'
_cell_length_a 7.328
_cell_length_b 7.328
_cell_length_c 7.328
_cell_angle_alpha 90.00
_cell_angle_beta 90.00
_cell_angle_gamma 90.00
loop_
_atom_site_label
_atom_site_type_symbol
_atom_site_fract_x
_atom_site_fract_y
_atom_site_fract_z
Ac1 Ac 0.000 0.000 0.000
Sm1 Sm 0.000 0.000 0.500
Zn1 Zn 0.250 0.250 0.250
Os1 Os 0.250 0.250 0.750


17.
# TeAs2Cl | the Alexandria database | PBE-GGA | optimized geometry
# Total magnetic moment ... 0.00 μB/cell
# VASP energy ... -28.06 eV per cell
# E_form (uncorrected) ... 65 meV/atom
# Excess energy over the best structure of this formula in the dataset ... 202 meV/atom
data_TeAs2Cl
_space_group_name_H-M_alt 'I m m 2'
_space_group_IT_number 44
_cell_length_a 3.882
_cell_length_b 4.428
_cell_length_c 12.211
_cell_angle_alpha 90.00
_cell_angle_beta 90.00
_cell_angle_gamma 90.00
loop_
_space_group_symop_operation_xyz
'x,y,z'
'-x,-y,z'
'-x,y,z'
'x,-y,z'
'x+1/2,y+1/2,z+1/2'
'-x+1/2,-y+1/2,z+1/2'
'-x+1/2,y+1/2,z+1/2'
'x+1/2,-y+1/2,z+1/2'
loop_
_atom_site_label
_atom_site_type_symbol
_atom_site_fract_x
_atom_site_fract_y
_atom_site_fract_z
Te1 Te 0.000 0.000 0.000
As1 As 0.000 0.000 0.502
As2 As 0.000 0.500 0.852
Cl1 Cl 0.000 0.500 0.238


18.
# Sm7Ga2Au2 | the Alexandria database | PBE-GGA | optimized geometry
# Energy of formation ... -0.286 eV per atom
# Total magnetic moment ... 0.00 μB/cell
# VASP energy ... -97.57 eV per cell
data_Sm7Ga2Au2
_space_group_name_H-M_alt 'C m m m'
_space_group_IT_number 65
_space_group_name_Hall '-C 2 2'
_cell_length_a 7.981
_cell_length_b 11.111
_cell_length_c 7.376
_cell_angle_alpha 90.00
_cell_angle_beta 90.00
_cell_angle_gamma 90.00
loop_
_atom_site_label
_atom_site_type_symbol
_atom_site_fract_x
_atom_site_fract_y
_atom_site_fract_z
Sm1 Sm 0.000 0.000 0.000
Sm2 Sm 0.000 0.500 0.266
Sm3 Sm 0.250 0.250 0.278
Ga1 Ga 0.163 0.000 0.500
Au1 Au 0.000 0.291 0.000


19.
# Er3MnTl4Te8 | the Alexandria database | PBE-GGA | optimized geometry
# Total magnetic moment ... 13.23 μB/cell
# VASP energy ... -211.06 eV per cell
# E_form (uncorrected) ... -806 meV/atom
data_Er3MnTl4Te8
_space_group_name_H-M_alt 'R -3 m'
_space_group_IT_number 166
_space_group_name_Hall '-R 3 2"'
_cell_length_a 8.7497
_cell_length_b 8.7497
_cell_length_c 24.1072
_cell_angle_alpha 90.00
_cell_angle_beta 90.00
_cell_angle_gamma 120.00
loop_
_atom_site_label
_atom_site_type_symbol
_atom_site_fract_x
_atom_site_fract_y
_atom_site_fract_z
Er1 Er 0.0000 0.5000 0.0000
Mn1 Mn 0.0000 0.0000 0.0000
Tl1 Tl 0.0000 0.0000 0.5000
Tl2 Tl 0.0000 0.5000 0.5000
Te1 Te 0.0000 0.0000 0.2615
Te2 Te 0.0140 0.5070 0.7353


20.
# KNb3V | the Alexandria database | PBE-GGA | optimized geometry
# Energy of formation ... 2.687 eV per atom
# Total magnetic moment ... 2.41 μB/cell
# VASP energy ... -26.99 eV per cell
# Excess energy over the best structure of this formula in the dataset ... 1353 meV/atom
data_KNb3V
_space_group_name_H-M_alt 'P m -3 m'
_space_group_IT_number 221
_space_group_name_Hall '-P 4 2 3'
_cell_length_a 4.625
_cell_length_b 4.625
_cell_length_c 4.625
_cell_angle_alpha 90.00
_cell_angle_beta 90.00
_cell_angle_gamma 90.00
loop_
_atom_site_label
_atom_site_type_symbol
_atom_site_fract_x
_atom_site_fract_y
_atom_site_fract_z
K1 K 0.000 0.000 0.000
Nb1 Nb 0.000 0.000 0.500
V1 V 0.500 0.500 0.500